Sm8Ho3Tm: relaxed, GGA-PBE.

Summary:
The value obtained for the calculated volume is 32.9 A^3/atom. For the energy, the calculation gives -54.5 eV/f.u.

a = 6.9873 Å, b = 11.9192 Å, c = 9.7684 Å
α = 90.00°, β = 104.21°, γ = 90.00°
Space group C2/m (No. 12)
Unique sites:
Sm1 0.0713 0.2472 0.3338
Sm2 0.1800 0.5000 0.1696
Sm3 0.1806 0.0000 0.1637
Ho1 0.0000 0.5000 0.5000
Ho2 0.2500 0.2500 0.0000
Tm1 0.0000 0.0000 0.5000